No. 1
# CaHPd2Rh, optimized geometry, DFT GGA-PBE
data_CaHPd2Rh
_cell_length_a 4.2918
_cell_length_b 4.2918
_cell_length_c 3.8571
_cell_angle_alpha 90.00
_cell_angle_beta 90.00
_cell_angle_gamma 90.00
_symmetry_space_group_name_H-M 'P 4/m m m'
_symmetry_Int_Tables_number 123
_symmetry_space_group_name_Hall '-P 4 2'
loop_
_atom_site_label
_atom_site_type_symbol
_atom_site_fract_x
_atom_site_fract_y
_atom_site_fract_z
Ca1 Ca 0.0000 0.0000 0.0000
H1 H 0.5000 0.5000 0.5000
Pd1 Pd 0.0000 0.5000 0.5000
Rh1 Rh 0.5000 0.5000 0.0000
# DFT total energy = -24.829 eV for the cell shown


No. 2
# CaHPd2Rh, optimized geometry, DFT GGA-PBE
data_CaHPd2Rh
_cell_length_a 4.0073
_cell_length_b 4.0073
_cell_length_c 4.4164
_cell_angle_alpha 90.00
_cell_angle_beta 90.00
_cell_angle_gamma 90.00
_symmetry_space_group_name_H-M 'P 4/m m m'
_symmetry_Int_Tables_number 123
_symmetry_space_group_name_Hall '-P 4 2'
loop_
_atom_site_label
_atom_site_type_symbol
_atom_site_fract_x
_atom_site_fract_y
_atom_site_fract_z
Ca1 Ca 0.0000 0.0000 0.0000
H1 H 0.0000 0.0000 0.5000
Pd1 Pd 0.0000 0.5000 0.5000
Rh1 Rh 0.5000 0.5000 0.0000
# DFT total energy = -24.252 eV for the cell shown


No. 3
# Ca2H6PdRh, optimized geometry, DFT GGA-PBE
data_Ca2H6PdRh
_cell_length_a 7.3419
_cell_length_b 7.3276
_cell_length_c 5.2342
_cell_angle_alpha 90.00
_cell_angle_beta 134.45
_cell_angle_gamma 90.00
_symmetry_space_group_name_H-M 'C 1 2/m 1'
_symmetry_Int_Tables_number 12
loop_
_symmetry_equiv_pos_as_xyz
'x,y,z'
'-x,-y,-z'
'-x,y,-z'
'x,-y,z'
'x+1/2,y+1/2,z'
'-x+1/2,-y+1/2,-z'
'-x+1/2,y+1/2,-z'
'x+1/2,-y+1/2,z'
loop_
_atom_site_label
_atom_site_type_symbol
_atom_site_fract_x
_atom_site_fract_y
_atom_site_fract_z
Ca1 Ca 0.0000 0.2503 0.0000
H1 H 0.0000 0.2417 0.5000
H2 H 0.2363 0.0000 0.9739
H3 H 0.2403 0.0000 0.4985
Pd1 Pd 0.0000 0.5000 0.5000
Rh1 Rh 0.0000 0.0000 0.5000
# DFT total energy = -85.082 eV for the cell shown


No. 4
# CaH6PdRh, optimized geometry, DFT GGA-PBE
data_CaH6PdRh
_cell_length_a 4.1143
_cell_length_b 4.9566
_cell_length_c 4.9635
_cell_angle_alpha 119.79
_cell_angle_beta 90.02
_cell_angle_gamma 90.15
_symmetry_space_group_name_H-M 'P 1'
_symmetry_Int_Tables_number 1
loop_
_symmetry_equiv_pos_as_xyz
'x,y,z'
loop_
_atom_site_label
_atom_site_type_symbol
_atom_site_fract_x
_atom_site_fract_y
_atom_site_fract_z
Ca1 Ca 0.0000 0.0000 0.0000
H1 H 0.2883 0.6156 0.0106
H2 H 0.2890 0.9850 0.6036
H3 H 0.2930 0.3919 0.3796
H4 H 0.7092 0.6202 0.6062
H5 H 0.7120 0.9897 0.3839
H6 H 0.7142 0.3976 0.0137
Pd1 Pd 0.5008 0.3330 0.6675
Rh1 Rh 0.5006 0.6668 0.3322
# DFT total energy = -36.940 eV for the cell shown


Repeat the fourth record exactly.
# CaH6PdRh, optimized geometry, DFT GGA-PBE
data_CaH6PdRh
_cell_length_a 4.1143
_cell_length_b 4.9566
_cell_length_c 4.9635
_cell_angle_alpha 119.79
_cell_angle_beta 90.02
_cell_angle_gamma 90.15
_symmetry_space_group_name_H-M 'P 1'
_symmetry_Int_Tables_number 1
loop_
_symmetry_equiv_pos_as_xyz
'x,y,z'
loop_
_atom_site_label
_atom_site_type_symbol
_atom_site_fract_x
_atom_site_fract_y
_atom_site_fract_z
Ca1 Ca 0.0000 0.0000 0.0000
H1 H 0.2883 0.6156 0.0106
H2 H 0.2890 0.9850 0.6036
H3 H 0.2930 0.3919 0.3796
H4 H 0.7092 0.6202 0.6062
H5 H 0.7120 0.9897 0.3839
H6 H 0.7142 0.3976 0.0137
Pd1 Pd 0.5008 0.3330 0.6675
Rh1 Rh 0.5006 0.6668 0.3322
# DFT total energy = -36.940 eV for the cell shown


Question: Which of these has the highest DFT total energy?
Answer: number 2


Question: Which formula does entry 4 have?
Answer: CaH6PdRh